Below is a geometry-optimized CsSb3Rh structure, with properties calculated at the GGA-PBE level.

The energy relative to the lowest polymorph listed for this composition is 2050 meV per atom. Its crystal system is cubic. The value obtained for the formation energy (no corrections) is 2.150 eV/atom. The density of states at the Fermi level comes out at 10.53 states/eV/cell. The value obtained for the calculated density is 4.56 g/cm3.

It has space group Pm-3m (No. 221), with a = 6.028 Å, b = 6.028 Å, c = 6.028 Å, α = 90.00°, β = 90.00° and γ = 90.00°. Symmetry generates all atoms from Cs at (0.000, 0.000, 0.000), Sb at (0.000, 0.000, 0.500) and Rh at (0.500, 0.500, 0.500).



Below is a geometry-optimized BaInICl4 structure, with properties calculated at the GGA-PBE level.

Its crystal system is monoclinic. The value obtained for the formation energy (no corrections) is -1.487 eV/atom. The density of states at the Fermi level comes out at 0.00 states/eV/cell. The value obtained for the calculated density is 2.89 g/cm3.

It has space group C2/m (No. 12), with a = 13.715 Å, b = 9.996 Å, c = 9.076 Å, α = 90.00°, β = 106.12° and γ = 90.00°. Symmetry generates all atoms from Ba at (0.192, 0.000, 0.089), In at (0.135, 0.500, 0.265), I at (0.004, 0.000, 0.761), Cl at (0.045, 0.500, 0.819), Cl at (0.195, 0.500, 0.536) and Cl at (0.212, 0.319, 0.156).



Below is a geometry-optimized Nd2PdI structure, with properties calculated at the GGA-PBE level.

The energy relative to the lowest polymorph listed for this composition is 158 meV per atom. Its crystal system is tetragonal. The value obtained for the formation energy (no corrections) is -0.703 eV/atom. The density of states at the Fermi level comes out at 5.07 states/eV/cell. The value obtained for the calculated density is 7.76 g/cm3.

It has space group P4/mmm (No. 123), with a = 3.649 Å, b = 3.649 Å, c = 8.389 Å, α = 90.00°, β = 90.00° and γ = 90.00°. Symmetry generates all atoms from Nd at (0.000, 0.000, 0.212), Pd at (0.500, 0.500, 0.000) and I at (0.500, 0.500, 0.500).



What is the formula in the second record?
BaInICl4